Nd2AgOsC after structural relaxation. Source: Alexandria via LeMat-Bulk, functional PBE.

## Properties
Final energy: -6.821 eV/atom
Formation enthalpy at 0 K: -0.2526 eV/atom
Fermi-level density of states: 2.78 states/eV/f.u.

Cell lengths 5.2425, 5.2425, 3.9138 Å; angles 90.00, 90.00, 90.00 degrees
Last column: nearest neighbours and their distance in Å.
Space group P4/mmm (No. 123)
Inequivalent atoms, fractional coordinates:
Nd (0.0000, 0.5000, 0.0000)  2 C 2.62
Ag (0.0000, 0.0000, 0.5000)  8 Nd 3.27
Os (0.5000, 0.5000, 0.5000)  2 C 1.96
C (0.5000, 0.5000, 0.0000)  2 Os 1.96

NdThAgC after structural relaxation. Source: Alexandria via LeMat-Bulk, functional PBE.

## Properties
Final energy: -6.230 eV/atom
Formation enthalpy at 0 K: -0.1642 eV/atom
Fermi-level density of states: 2.76 states/eV/f.u.

Cell lengths 6.4157, 3.7180, 8.1491 Å; angles 90.00, 105.13, 90.00 degrees
Last column: nearest neighbours and their distance in Å.
Space group Cm (No. 8)
Inequivalent atoms, fractional coordinates:
Nd (0.0000, 0.0000, 0.0000)  3 C 2.65
Th (0.2108, 0.0000, 0.6303)  3 C 2.53
Ag (0.2704, 0.5000, 0.3113)  3 Nd 3.25-3.26, 3 Th 3.30
C (0.1009, 0.5000, 0.8019)  3 Th 2.53, 3 Nd 2.65

Ni2AgC after structural relaxation. Source: Alexandria via LeMat-Bulk, functional PBE.

## Properties
Final energy: -5.475 eV/atom
Formation enthalpy at 0 K: 0.4345 eV/atom
Fermi-level density of states: 1.71 states/eV/f.u.

Cell lengths 6.0379, 6.0379, 5.3621 Å; angles 90.00, 90.00, 90.00 degrees
Last column: nearest neighbours and their distance in Å.
Space group I-42d (No. 122)
Inequivalent atoms, fractional coordinates:
Ni (0.1321, 0.2500, 0.1250)  2 C 1.83
Ag (0.0000, 0.0000, 0.5000)  8 Ni 2.64-2.77, 2 C 2.68
C (0.0000, 0.0000, 0.0000)  4 Ni 1.83

NiAg2C after structural relaxation. Source: Alexandria via LeMat-Bulk, functional PBE.

## Properties
Final energy: -3.520 eV/atom
Formation enthalpy at 0 K: 1.6572 eV/atom
Fermi-level density of states: 2.09 states/eV/f.u.

Cell lengths 4.6667, 4.6667, 12.7771 Å; angles 90.00, 90.00, 90.00 degrees
Last column: nearest neighbours and their distance in Å.
Space group I-42d (No. 122)
Inequivalent atoms, fractional coordinates:
Ni (0.0000, 0.0000, 0.0000)  4 Ag 2.54
Ag (0.1597, 0.2500, 0.6250)  2 C 2.11
C (0.0000, 0.0000, 0.5000)  4 Ag 2.11

NiAgC3 after structural relaxation. Source: Alexandria via LeMat-Bulk, functional PBE.

## Properties
Final energy: -3.818 eV/atom
Relative energy among the computed polymorphs: 1.091 eV per atom
Formation enthalpy at 0 K: 3.4427 eV/atom
Fermi-level density of states: 2.98 states/eV/f.u.

Cell lengths 4.0687, 4.0687, 4.0687 Å; angles 90.00, 90.00, 90.00 degrees
Last column: nearest neighbours and their distance in Å.
Space group Pm-3m (No. 221)
Inequivalent atoms, fractional coordinates:
Ni (0.0000, 0.0000, 0.0000)  12 C 2.88
Ag (0.5000, 0.5000, 0.5000)  6 C 2.03
C (0.0000, 0.5000, 0.5000)  2 Ag 2.03

NiAgC3 after structural relaxation. Source: Alexandria via LeMat-Bulk, functional PBE.

## Properties
Final energy: -4.910 eV/atom
Relative energy among the computed polymorphs: 0.000 eV per atom
Formation enthalpy at 0 K: 2.3513 eV/atom
Fermi-level density of states: 1.43 states/eV/f.u.

Cell lengths 3.8193, 3.8193, 3.8193 Å; angles 90.00, 90.00, 90.00 degrees
Last column: nearest neighbours and their distance in Å.
Space group Pm-3m (No. 221)
Inequivalent atoms, fractional coordinates:
Ni (0.0000, 0.0000, 0.0000)  6 C 1.91
Ag (0.5000, 0.5000, 0.5000)  12 C 2.70
C (0.0000, 0.0000, 0.5000)  2 Ni 1.91